(1)
Ni2PRu2 PBE-GGA optimized geometry; energy of formation from the pure elements = 36 meV per atom; D(E_F) = 1.116 states/eV/atom; total magnetization = 1.32 μB/f.u.
1.0
5.9081 0.0000 0.0000
0.0000 5.9081 0.0000
0.0000 0.0000 3.9102
Ni P Ru
4 2 4
Cartesian
0.8870 2.0670 0.0000
2.0670 5.0211 0.0000
3.8410 0.8870 0.0000
5.0211 3.8410 0.0000
0.0000 0.0000 1.9551
2.9540 2.9540 1.9551
0.8825 3.8365 1.9551
2.0715 0.8825 1.9551
3.8365 5.0256 1.9551
5.0256 2.0715 1.9551

***

(2)
Ac2AlCrS6 PBE-GGA optimized geometry; ΔE_f (raw) = -1.518 eV/atom; total magnetization = 3.00 μB/f.u.
1.0
6.5984 0.0000 0.0000
0.0000 6.8942 0.0000
-6.5890 0.0000 9.4831
Ac Al Cr S
4 2 2 12
Cartesian
-0.1402 0.5514 2.3789
-3.4347 2.8957 7.1205
3.4441 3.9985 2.3626
0.1495 6.3428 7.1042
3.2992 0.0000 0.0000
0.0047 3.4471 4.7416
-3.2945 0.0000 4.7416
0.0000 3.4471 0.0000
-5.2811 1.3657 9.1078
-1.9866 2.0814 4.3662
-4.6103 4.8195 9.1066
-1.3158 5.5217 4.3651
0.5190 3.4657 2.3722
-2.7755 6.8755 7.1138
2.7848 0.0186 2.3693
-0.5097 3.4285 7.1109
1.3251 1.3724 5.1181
4.6197 2.0746 0.3765
1.9960 4.8127 5.1169
5.2905 5.5285 0.3753

***

(3)
Ca2TaRe PBE-GGA optimized geometry; energy of formation from the pure elements = 760 meV per atom; D(E_F) = 0.862 states/eV/atom; total magnetization = 0.00 μB/f.u.
1.0
2.8417 0.0000 0.0000
0.0000 5.1967 0.0000
0.0000 0.0000 5.6867
Ca Ta Re
2 1 1
Cartesian
0.0000 0.0000 1.3891
0.0000 0.0000 4.2976
1.4208 2.5983 2.8433
1.4208 2.5983 0.0000